# 1
ThPaOs2: optimized geometry, GGA-PBE.

Values from the calculation:
E above lowest polymorph = 30 meV/atom
final energy = -10.01 eV per atom
magnetic moment = 0.0 Bohr magnetons per cell
formation energy from the elements = -0.170 eV/atom

Cell: 4.023 4.023 7.014 Å, 73.33 73.33 60.00°
Positions (direct):
1 Th 0.500 0.500 0.500
2 Pa 0.000 0.000 0.000
3 Os 0.255 0.255 0.236
4 Os 0.745 0.745 0.764



# 2
ThPaOs2: optimized geometry, GGA-PBE.

Values from the calculation:
E above lowest polymorph = 75 meV/atom
final energy = -9.97 eV per atom
magnetic moment = 0.0 Bohr magnetons per cell
formation energy from the elements = -0.126 eV/atom

Cell: 4.952 4.952 4.952 Å, 60.00 60.00 60.00°
Positions (direct):
1 Os 0.750 0.750 0.750
2 Pa 0.000 0.000 0.000
3 Th 0.500 0.500 0.500
4 Os 0.250 0.250 0.250